# 1
FeNi2Rh: optimized geometry, PBE-GGA.

abc: 5.8201 5.8201 5.8201
angles: 90.00 90.00 90.00
Closest atoms and distances in Å follow each position.
Space group F-43m (No. 216)
One atom of each set of equivalent atoms:
Fe: 0.0000 0.0000 0.0000 x4  4 Ni 2.52, 4 Rh 2.52
Ni: 0.0000 0.0000 0.5000 x4  4 Ni 2.52, 4 Rh 2.52
Ni: 0.2500 0.2500 0.7500 x4  4 Fe 2.52, 4 Ni 2.52
Rh: 0.2500 0.2500 0.2500 x4  4 Fe 2.52, 4 Ni 2.52

- Energy of formation from the pure elements: 0.054 eV per atom
- Crystal system: cubic
- Calculated total energy: -6.7901 eV/atom
- M_tot: 20.19 μB per cell

---

# 2
BaTl3Cl: optimized geometry, PBE-GGA.

abc: 5.8509 5.8509 5.8509
angles: 90.00 90.00 90.00
Closest atoms and distances in Å follow each position.
Space group Pm-3m (No. 221)
One atom of each set of equivalent atoms:
Ba: 0.0000 0.0000 0.0000 x1  12 Tl 4.14
Tl: 0.0000 0.5000 0.5000 x3  2 Cl 2.93
Cl: 0.5000 0.5000 0.5000 x1  6 Tl 2.93

- Energy above the most stable polymorph in this dataset: 0.00 eV/f.u.
- Crystal system: cubic
- Calculated total energy: -2.4846 eV/atom
- M_tot: 0.00 μB per cell
- ΔE_f (raw): -0.3110 eV per atom

---

# 3
B3PdSe: optimized geometry, PBE-GGA.

abc: 4.0675 4.0675 4.0675
angles: 90.00 90.00 90.00
Closest atoms and distances in Å follow each position.
Space group Pm-3m (No. 221)
One atom of each set of equivalent atoms:
B: 0.0000 0.0000 0.5000 x3  2 Se 2.03
Pd: 0.5000 0.5000 0.5000 x1  12 B 2.88
Se: 0.0000 0.0000 0.0000 x1  6 B 2.03

- Energy above the most stable polymorph in this dataset: 2.77 eV/f.u.
- Crystal system: cubic
- Calculated total energy: -3.7969 eV/atom
- M_tot: 0.00 μB per cell
- ΔE_f (raw): 1.9451 eV per atom

---

# 4
SrHoPu2Se4: optimized geometry, PBE-GGA.

abc: 7.2635 4.1783 7.2817
angles: 90.00 109.24 90.00
Closest atoms and distances in Å follow each position.
Space group P2/m (No. 10)
One atom of each set of equivalent atoms:
Sr: 0.0000 0.0000 0.0000 x1  6 Se 3.02
Ho: 0.0000 0.5000 0.5000 x1  6 Se 2.92-2.93
Pu: 0.5000 0.0000 0.5000 x1  6 Se 2.91
Pu: 0.5000 0.5000 0.0000 x1  6 Se 3.00-3.01
Se: 0.2481 0.0000 0.7397 x2  3 Pu 2.91-3.00, 2 Ho 2.93, 1 Sr 3.02
Se: 0.2556 0.5000 0.2625 x2  3 Pu 2.91-3.01, 1 Ho 2.92, 2 Sr 3.02

- Crystal system: monoclinic
- Calculated total energy: -7.7828 eV/atom
- M_tot: 11.77 μB per cell
- ΔE_f (raw): -1.6751 eV per atom

---

Which formula does entry 1 have? FeNi2Rh